# Li2TaP PBE relaxed
# - spin magnetization (μB per formula unit) = 0.0
# - ΔE_f (eV per formula unit) = -0.6
# - DOS(E_F) (states/eV/f.u.) = 2.13
data_Li2TaP
_cell_length_a 3.536
_cell_length_b 3.536
_cell_length_c 9.754
_cell_angle_alpha 90.00
_cell_angle_beta 90.00
_cell_angle_gamma 90.00
_symmetry_space_group_name_H-M 'I 4/m m m'
_symmetry_Int_Tables_number 139
_symmetry_space_group_name_Hall '-I 4 2'
loop_
_atom_site_label
_atom_site_type_symbol
_atom_site_fract_x
_atom_site_fract_y
_atom_site_fract_z
Li1 Li 0.000 0.500 0.250
Ta1 Ta 0.000 0.000 0.000
P1 P 0.000 0.000 0.500